# 1
A geometry-optimized CaMnAg2 structure, computed with PBE.

Results
The calculation puts the energy of formation at 137 meV/atom.

Unit cell a=5.365 b=5.365 c=4.944 alpha=106.25 beta=106.25 gamma=37.91
Positions (direct):
Ca 0.000 0.000 0.000
Mn 0.225 0.225 0.663
Ag 0.496 0.496 0.502
Ag 0.758 0.758 0.238

***

# 2
A geometry-optimized CaMnAg3 structure, computed with PBE.

Results
The calculation puts the energy of formation at 1130 meV/atom. The calculation puts the relative energy among the computed polymorphs at 775.5 meV per atom.

Unit cell a=5.307 b=5.307 c=5.307 alpha=90.00 beta=90.00 gamma=90.00
Positions (direct):
Ca 0.000 0.000 0.000
Mn 0.500 0.500 0.500
Ag 0.000 0.000 0.500
Ag 0.000 0.500 0.000
Ag 0.500 0.000 0.000

***

# 3
A geometry-optimized CaMnAg3 structure, computed with PBE.

Results
The calculation puts the energy of formation at 355 meV/atom. The calculation puts the relative energy among the computed polymorphs at 0.0 meV per atom.

Unit cell a=5.005 b=5.005 c=5.005 alpha=90.00 beta=90.00 gamma=90.00
Positions (direct):
Ca 0.000 0.000 0.000
Mn 0.500 0.500 0.500
Ag 0.000 0.500 0.500
Ag 0.500 0.000 0.500
Ag 0.500 0.500 0.000

***

# 4
A geometry-optimized CaMnAg structure, computed with PBE.

Results
The calculation puts the energy of formation at 465 meV/atom.

Unit cell a=3.370 b=3.370 c=7.049 alpha=90.00 beta=90.00 gamma=120.00
Positions (direct):
Ca 0.000 0.000 0.000
Mn 0.667 0.333 0.365
Ag 0.333 0.667 0.644